(1)
Material: ZnGeSb
Method: DFT, PBE
State: optimized geometry

Cell and atoms, written as POSCAR:
```
ZnGeSb
1.0
-1.300 -4.589 -0.323
1.856 -0.772 3.501
-3.883 1.102 -0.026
Sb Zn Ge
1 1 1
direct
0.654 0.333 0.667
0.022 0.000 0.000
0.325 0.667 0.333
```

Theoretical density, g/cm3: 6.4
DOS at the Fermi energy, states/eV/atom: 0.495
SG: P3m1 (156)
Raw formation energy, eV per atom: 0.155
DFT total energy, eV per atom: -3.1829
Size of the total moment, μB/f.u.: 0.000


(2)
Material: ScCr2Au
Method: DFT, PBE
State: optimized geometry

Cell and atoms, written as POSCAR:
```
ScCr2Au
1.0
-2.576 5.290 -4.530
-6.091 0.631 4.200
-3.042 4.938 1.411
Au Cr Sc
2 4 2
direct
0.000 0.000 0.000
0.750 0.250 0.500
0.100 0.625 0.250
0.875 0.900 0.750
0.375 0.350 0.750
0.650 0.125 0.250
0.250 0.750 0.500
0.500 0.500 0.000
```

Theoretical density, g/cm3: 7.3
DOS at the Fermi energy, states/eV/atom: 0.845
SG: I-42d (122)
Energy above the lowest structure with this stoichiometry, eV/atom: 0.590
DFT total energy, eV per atom: -6.6680
Size of the total moment, μB/f.u.: 7.772


(3)
Material: BaDyInHg
Method: DFT, PBE
State: optimized geometry

Cell and atoms, written as POSCAR:
```
BaDyInHg
1.0
5.662 0.000 0.000
2.831 4.903 0.000
2.831 1.634 4.623
In Dy Hg Ba
1 1 1 1
direct
0.500 0.500 0.500
0.750 0.750 0.750
0.000 0.000 0.000
0.250 0.250 0.250
```

Theoretical density, g/cm3: 8.0
DOS at the Fermi energy, states/eV/atom: 0.767
SG: F-43m (216)
DFT total energy, eV per atom: -2.7224
Size of the total moment, μB/f.u.: 0.000


(4)
Material: Ac2Nd5Ga4
Method: DFT, PBE
State: optimized geometry

Cell and atoms, written as POSCAR:
```
Ac2Nd5Ga4
1.0
6.961 0.000 0.000
3.480 7.117 -0.442
3.480 1.299 6.871
Ga Ac Nd
4 2 5
direct
0.289 0.130 0.293
0.770 0.537 0.924
0.230 0.463 0.076
0.711 0.870 0.707
0.295 0.755 0.656
0.705 0.245 0.344
0.767 0.795 0.145
0.707 0.205 0.855
0.000 0.500 0.500
0.233 0.205 0.855
0.293 0.795 0.145
```

Theoretical density, g/cm3: 7.0
DOS at the Fermi energy, states/eV/atom: 1.097
SG: C2/m (12)
DFT total energy, eV per atom: -4.2894
Size of the total moment, μB/f.u.: 0.000


(5)
Material: Sm6H3C2O
Method: DFT, PBE
State: optimized geometry

Cell and atoms, written as POSCAR:
```
Sm6H3C2O
1.0
-1.587 6.032 0.848
-4.365 -4.510 0.483
3.144 -1.014 5.336
Sm O H C
6 1 3 2
direct
0.923 0.590 0.768
0.744 0.744 0.231
0.256 0.256 0.769
0.410 0.077 0.232
0.590 0.923 0.768
0.077 0.410 0.232
0.000 0.000 0.000
0.175 0.825 0.500
0.500 0.500 0.500
0.825 0.175 0.500
0.334 0.666 0.000
0.666 0.334 0.000
```

Theoretical density, g/cm3: 7.7
DOS at the Fermi energy, states/eV/atom: 0.345
SG: C2/m (12)
DFT total energy, eV per atom: -5.9406
Size of the total moment, μB/f.u.: 0.000


(6)
Material: TbEr3Tl4Se8
Method: DFT, PBE
State: optimized geometry

Cell and atoms, written as POSCAR:
```
TbEr3Tl4Se8
1.0
8.332 0.000 0.000
0.000 9.129 0.556
-4.166 -4.164 5.893
Se Tl Tb Er
8 4 1 3
direct
0.734 0.702 0.468
0.266 0.298 0.532
0.236 0.703 0.472
0.236 0.703 0.968
0.732 0.703 0.968
0.268 0.297 0.032
0.764 0.297 0.528
0.764 0.297 0.032
0.500 0.000 0.000
0.500 0.000 0.500
0.000 0.000 0.500
0.000 0.000 0.000
0.000 0.500 0.000
0.500 0.500 0.500
0.500 0.500 0.000
0.000 0.500 0.500
```

Theoretical density, g/cm3: 7.5
SG: R-3m (166)
Raw formation energy, eV per atom: -1.383
DFT total energy, eV per atom: -4.8614
Size of the total moment, μB/f.u.: 0.000